Record 1
# Ba2SnHg2 GGA-PBE relaxed
data_Ba2SnHg2
_chemical_formula_sum 'Ba8 Sn4 Hg8'
_cell_length_a 12.446
_cell_length_b 5.053
_cell_length_c 12.825
_cell_angle_alpha 90.00
_cell_angle_beta 117.07
_cell_angle_gamma 90.00
_symmetry_space_group_name_H-M 'C 1 2/m 1'
_symmetry_Int_Tables_number 12
loop_
_symmetry_equiv_pos_as_xyz
'x,y,z'
'-x,-y,-z'
'-x,y,-z'
'x,-y,z'
'x+1/2,y+1/2,z'
'-x+1/2,-y+1/2,-z'
'-x+1/2,y+1/2,-z'
'x+1/2,-y+1/2,z'
loop_
_atom_site_label
_atom_site_type_symbol
_atom_site_fract_x
_atom_site_fract_y
_atom_site_fract_z
_atom_site_occupancy
Ba1 Ba 0.022 0.000 0.349 1
Ba2 Ba 0.195 0.000 0.115 1
Sn1 Sn 0.219 0.500 0.336 1
Hg1 Hg 0.024 0.500 0.889 1
Hg2 Hg 0.144 0.500 0.558 1
# Formation energy ... -0.5425 eV/atom
# Raw total energy ... -2.233 eV/atom
# Size of the total moment ... 0.000 μB/atom
# Offset from the most stable computed form ... 0 meV/atom



Record 2
# YHo2Te GGA-PBE relaxed
data_YHo2Te
_chemical_formula_sum 'Y4 Ho8 Te4'
_cell_length_a 3.945
_cell_length_b 12.076
_cell_length_c 9.809
_cell_angle_alpha 90.00
_cell_angle_beta 90.00
_cell_angle_gamma 90.00
_symmetry_space_group_name_H-M 'C m c m'
_symmetry_Int_Tables_number 63
_symmetry_space_group_name_Hall '-C 2c 2'
loop_
_atom_site_label
_atom_site_type_symbol
_atom_site_fract_x
_atom_site_fract_y
_atom_site_fract_z
_atom_site_occupancy
Y1 Y 0.000 0.057 0.250 1
Ho1 Ho 0.000 0.365 0.038 1
Te1 Te 0.000 0.235 0.750 1
# Raw total energy ... -5.345 eV/atom
# Size of the total moment ... 0.000 μB/atom
# Offset from the most stable computed form ... 0 meV/atom
# Formation energy from raw total energies ... -654 meV/atom



Record 3
# CsPr3Sm2Te6 GGA-PBE relaxed
data_CsPr3Sm2Te6
_chemical_formula_sum 'Cs2 Pr6 Sm4 Te12'
_cell_length_a 20.078
_cell_length_b 4.520
_cell_length_c 9.461
_cell_angle_alpha 90.00
_cell_angle_beta 103.37
_cell_angle_gamma 90.00
_symmetry_space_group_name_H-M 'C 1 2/m 1'
_symmetry_Int_Tables_number 12
loop_
_symmetry_equiv_pos_as_xyz
'x,y,z'
'-x,-y,-z'
'-x,y,-z'
'x,-y,z'
'x+1/2,y+1/2,z'
'-x+1/2,-y+1/2,-z'
'-x+1/2,y+1/2,-z'
'x+1/2,-y+1/2,z'
loop_
_atom_site_label
_atom_site_type_symbol
_atom_site_fract_x
_atom_site_fract_y
_atom_site_fract_z
_atom_site_occupancy
Cs1 Cs 0.000 0.000 0.000 1
Pr1 Pr 0.000 0.000 0.500 1
Pr2 Pr 0.159 0.500 0.816 1
Sm1 Sm 0.170 0.500 0.344 1
Te1 Te 0.007 0.500 0.276 1
Te2 Te 0.167 0.000 0.579 1
Te3 Te 0.179 0.000 0.093 1
# Raw total energy ... -4.955 eV/atom
# Size of the total moment ... 0.000 μB/atom
# Formation energy from raw total energies ... -1331 meV/atom



Record 4
# RePH2W GGA-PBE relaxed
data_RePH2W
_chemical_formula_sum 'Re1 P1 H2 W1'
_cell_length_a 3.474
_cell_length_b 3.474
_cell_length_c 5.141
_cell_angle_alpha 90.00
_cell_angle_beta 90.00
_cell_angle_gamma 90.00
_symmetry_space_group_name_H-M 'P 4/m m m'
_symmetry_Int_Tables_number 123
_symmetry_space_group_name_Hall '-P 4 2'
loop_
_atom_site_label
_atom_site_type_symbol
_atom_site_fract_x
_atom_site_fract_y
_atom_site_fract_z
_atom_site_occupancy
Re1 Re 0.000 0.000 0.000 1
P1 P 0.500 0.500 0.000 1
H1 H 0.000 0.500 0.500 1
W1 W 0.000 0.000 0.500 1
# Raw total energy ... -6.695 eV/atom
# Size of the total moment ... 0.000 μB/atom



Record 5
# ReRhN2O GGA-PBE relaxed
data_ReRhN2O
_chemical_formula_sum 'Re1 Rh1 N2 O1'
_cell_length_a 3.873
_cell_length_b 3.873
_cell_length_c 3.875
_cell_angle_alpha 90.00
_cell_angle_beta 90.00
_cell_angle_gamma 90.00
_symmetry_space_group_name_H-M 'P 4/m m m'
_symmetry_Int_Tables_number 123
_symmetry_space_group_name_Hall '-P 4 2'
loop_
_atom_site_label
_atom_site_type_symbol
_atom_site_fract_x
_atom_site_fract_y
_atom_site_fract_z
_atom_site_occupancy
Re1 Re 0.000 0.000 0.000 1
Rh1 Rh 0.500 0.500 0.500 1
N1 N 0.000 0.500 0.500 1
O1 O 0.500 0.500 0.000 1
# Raw total energy ... -6.707 eV/atom
# Size of the total moment ... 0.394 μB/atom
# Formation energy from raw total energies ... 1575 meV/atom



Record 6
# Cs6Rb8Sn GGA-PBE relaxed
data_Cs6Rb8Sn
_chemical_formula_sum 'Cs18 Rb24 Sn3'
_cell_length_a 13.7301
_cell_length_b 13.7301
_cell_length_c 25.7567
_cell_angle_alpha 90.00
_cell_angle_beta 90.00
_cell_angle_gamma 120.00
_symmetry_space_group_name_H-M 'R -3'
_symmetry_Int_Tables_number 148
_symmetry_space_group_name_Hall '-R 3'
loop_
_atom_site_label
_atom_site_type_symbol
_atom_site_fract_x
_atom_site_fract_y
_atom_site_fract_z
_atom_site_occupancy
Cs1 Cs 0.0307 0.7907 0.4125 1
Rb1 Rb 0.0000 0.0000 0.2428 1
Rb2 Rb 0.0483 0.8160 0.9155 1
Sn1 Sn 0.0000 0.0000 0.0000 1
# Formation energy ... 0.0012 eV/atom
# Raw total energy ... -1.123 eV/atom
# Size of the total moment ... 0.000 μB/atom